# Zn3Pt

A crystal of Zn3Pt relaxed with PBEsol (meta-GGA SCAN, the Alexandria database).

Geometry as POSCAR:
```
Zn3Pt
1.0
4.8319 0.0000 0.0000
0.0000 4.8319 0.0000
0.0000 0.0000 4.8319
Zn Pt
6 2
direct
0.0000 0.2500 0.5000
0.0000 0.7500 0.5000
0.2500 0.5000 0.0000
0.5000 0.0000 0.2500
0.5000 0.0000 0.7500
0.7500 0.5000 0.0000
0.0000 0.0000 0.0000
0.5000 0.5000 0.5000
```

## Properties
ΔH_f (0 K) in meV per atom: -360.5
Space group: Pm-3n, No. 223
Total moment in μB per atom: 0.000